Material: LiHRhAu2
Method: DFT, PBE-GGA
State: optimized geometry

The structure belongs to space group P4/mmm (No. 123); the cell edges are 4.438, 4.438 and 3.458 Å and the angles 90.00°, 90.00° and 90.00°. The asymmetric unit holds Li at (0.000, 0.000, 0.000), H at (0.500, 0.500, 0.500), Rh at (0.500, 0.500, 0.000) and Au at (0.000, 0.500, 0.500).

The mass density comes out at 12.31 g/cm³. As for the density of states at the Fermi level: 1.7 states/eV/cell. Its electronic total energy is -3.9792 eV/atom.

Material: HgHNO2
Method: DFT, PBE-GGA
State: optimized geometry

The structure belongs to space group P4/mmm (No. 123); the cell edges are 4.191, 4.191 and 2.700 Å and the angles 90.00°, 90.00° and 90.00°. The asymmetric unit holds Hg at (0.000, 0.000, 0.000), H at (0.500, 0.500, 0.500), N at (0.500, 0.500, 0.000) and O at (0.000, 0.500, 0.500).

The mass density comes out at 8.67 g/cm³. As for the density of states at the Fermi level: 3.4 states/eV/cell. Its electronic total energy is -3.0704 eV/atom.

Material: Nb3SeF
Method: DFT, PBE-GGA
State: optimized geometry

The structure belongs to space group Pm-3m (No. 221); the cell edges are 4.366, 4.366 and 4.366 Å and the angles 90.00°, 90.00° and 90.00°. The asymmetric unit holds Nb at (0.000, 0.000, 0.500), Se at (0.500, 0.500, 0.500) and F at (0.000, 0.000, 0.000).

The mass density comes out at 7.52 g/cm³. As for the density of states at the Fermi level: 4.2 states/eV/cell. The relative energy among the computed polymorphs is 0 meV/atom. Its electronic total energy is -7.0126 eV/atom. As for the energy relative to the elements, uncorrected: 48 kJ/mol of formula units.

Material: Pr4ErTl3
Method: DFT, PBE-GGA
State: optimized geometry

The structure belongs to space group C2/m (No. 12); the cell edges are 23.818, 3.523 and 6.383 Å and the angles 90.00°, 91.20° and 90.00°. The asymmetric unit holds Pr at (0.114, 0.000, 0.471), Pr at (0.237, 0.500, 0.749), Er at (0.000, 0.000, 0.000), Tl at (0.000, 0.500, 0.500) and Tl at (0.133, 0.000, 0.977).

The mass density comes out at 8.34 g/cm³. As for the density of states at the Fermi level: 13.5 states/eV/cell. The relative energy among the computed polymorphs is 191 meV/atom. Its electronic total energy is -3.8966 eV/atom.

Material: CePrHoMg
Method: DFT, PBE-GGA
State: optimized geometry

The structure belongs to space group F-43m (No. 216); the cell edges are 7.850, 7.850 and 7.850 Å and the angles 90.00°, 90.00° and 90.00°. The asymmetric unit holds Ce at (0.000, 0.000, 0.000), Pr at (0.250, 0.250, 0.250), Ho at (0.250, 0.250, 0.750) and Mg at (0.000, 0.000, 0.500).

The mass density comes out at 6.46 g/cm³. As for the density of states at the Fermi level: 34.9 states/eV/cell. Its electronic total energy is -4.0753 eV/atom.

Material: AlCoSe2
Method: DFT, PBE-GGA
State: optimized geometry

The structure belongs to space group P4/mmm (No. 123); the cell edges are 3.153, 3.153 and 6.644 Å and the angles 90.00°, 90.00° and 90.00°. The asymmetric unit holds Al at (0.000, 0.000, 0.000), Co at (0.000, 0.000, 0.500) and Se at (0.500, 0.500, 0.270).

The mass density comes out at 6.13 g/cm³. As for the density of states at the Fermi level: 3.4 states/eV/cell. Its electronic total energy is -4.2547 eV/atom. As for the energy relative to the elements, uncorrected: 77 kJ/mol of formula units.

Material: BaRuW2
Method: DFT, PBE-GGA
State: optimized geometry

The structure belongs to space group Immm (No. 71); the cell edges are 2.880, 5.199 and 10.982 Å and the angles 90.00°, 90.00° and 90.00°. The asymmetric unit holds Ba at (0.000, 0.000, 0.000), Ru at (0.000, 0.000, 0.500) and W at (0.000, 0.500, 0.208).

The mass density comes out at 12.24 g/cm³. As for the density of states at the Fermi level: 10.5 states/eV/cell. The relative energy among the computed polymorphs is 418 meV/atom. Its electronic total energy is -8.1429 eV/atom.

Material: Ca3YFe
Method: DFT, PBE-GGA
State: optimized geometry

The structure belongs to space group Pm-3m (No. 221); the cell edges are 5.429, 5.429 and 5.429 Å and the angles 90.00°, 90.00° and 90.00°. The asymmetric unit holds Ca at (0.000, 0.000, 0.500), Y at (0.500, 0.500, 0.500) and Fe at (0.000, 0.000, 0.000).

The mass density comes out at 2.75 g/cm³. As for the density of states at the Fermi level: 15.2 states/eV/cell. Its electronic total energy is -3.6551 eV/atom.